# 1
Here is an optimized crystal structure of ErPaPd2O8 from Alexandria via LeMat-Bulk. Energies are from GGA-PBE.

Geometry as CIF:
```
data_ErPaPd2O8
_cell_length_a 7.049
_cell_length_b 7.049
_cell_length_c 6.933
_cell_angle_alpha 90.00
_cell_angle_beta 90.00
_cell_angle_gamma 90.00
_symmetry_space_group_name_H-M 'I -4 m 2'
_symmetry_Int_Tables_number 119
_symmetry_space_group_name_Hall 'I -4 -2'
loop_
_atom_site_label
_atom_site_fract_x
_atom_site_fract_y
_atom_site_fract_z
Er1 0.000 0.000 0.000
Pa1 0.000 0.500 0.750
Pd1 0.000 0.000 0.500
Pd2 0.000 0.500 0.250
O1 0.000 0.181 0.714
O2 0.000 0.325 0.033
```

Calculated values
Calculated total energy in eV/atom: -7.047
Formation energy from raw total energies in meV/atom: -1704
Magnetic moment in Bohr magnetons per cell: 0.0
Calculated volume in Å³/atom: 14.4


# 2
Here is an optimized crystal structure of Th6Te3As2Pb from Alexandria via LeMat-Bulk. Energies are from GGA-PBE.

Geometry as CIF:
```
data_Th6Te3As2Pb
_cell_length_a 19.370
_cell_length_b 4.416
_cell_length_c 8.862
_cell_angle_alpha 90.00
_cell_angle_beta 104.06
_cell_angle_gamma 90.00
_symmetry_space_group_name_H-M 'C 1 2/m 1'
_symmetry_Int_Tables_number 12
loop_
_symmetry_equiv_pos_as_xyz
'x,y,z'
'-x,-y,-z'
'-x,y,-z'
'x,-y,z'
'x+1/2,y+1/2,z'
'-x+1/2,-y+1/2,-z'
'-x+1/2,y+1/2,-z'
'x+1/2,-y+1/2,z'
loop_
_atom_site_label
_atom_site_fract_x
_atom_site_fract_y
_atom_site_fract_z
Th1 0.014 0.000 0.259
Th2 0.170 0.500 0.113
Th3 0.172 0.500 0.566
Te1 0.000 0.500 0.500
Te2 0.160 0.000 0.834
As1 0.171 0.000 0.338
Pb1 0.000 0.500 0.000
```

Calculated values
Calculated total energy in eV/atom: -6.615
Formation energy from raw total energies in meV/atom: -1036
Magnetic moment in Bohr magnetons per cell: 0.0
Calculated volume in Å³/atom: 30.6


# 3
Here is an optimized crystal structure of NpUSbTe from Alexandria via LeMat-Bulk. Energies are from GGA-PBE.

Geometry as CIF:
```
data_NpUSbTe
_cell_length_a 7.472
_cell_length_b 7.472
_cell_length_c 7.472
_cell_angle_alpha 90.00
_cell_angle_beta 90.00
_cell_angle_gamma 90.00
_symmetry_space_group_name_H-M 'F -4 3 m'
_symmetry_Int_Tables_number 216
_symmetry_space_group_name_Hall 'F -4 2 3'
loop_
_atom_site_label
_atom_site_fract_x
_atom_site_fract_y
_atom_site_fract_z
Np1 0.000 0.000 0.000
U1 0.000 0.000 0.500
Sb1 0.250 0.250 0.750
Te1 0.250 0.250 0.250
```

Calculated values
Calculated total energy in eV/atom: -8.044
Formation energy from raw total energies in meV/atom: -171
Magnetic moment in Bohr magnetons per cell: 8.4
Calculated volume in Å³/atom: 26.1


# 4
Here is an optimized crystal structure of PaFeTcGe2 from Alexandria via LeMat-Bulk. Energies are from GGA-PBE.

Geometry as CIF:
```
data_PaFeTcGe2
_cell_length_a 4.171
_cell_length_b 4.171
_cell_length_c 9.865
_cell_angle_alpha 90.00
_cell_angle_beta 90.00
_cell_angle_gamma 90.00
_symmetry_space_group_name_H-M 'I -4 m 2'
_symmetry_Int_Tables_number 119
_symmetry_space_group_name_Hall 'I -4 -2'
loop_
_atom_site_label
_atom_site_fract_x
_atom_site_fract_y
_atom_site_fract_z
Pa1 0.000 0.000 0.000
Fe1 0.000 0.500 0.250
Tc1 0.000 0.500 0.750
Ge1 0.000 0.000 0.373
```

Calculated values
Calculated total energy in eV/atom: -7.841
Magnetic moment in Bohr magnetons per cell: 1.1
Formation energy in eV/atom: -0.329
Calculated volume in Å³/atom: 17.2


# 5
Here is an optimized crystal structure of Ba2CoMo from Alexandria via LeMat-Bulk. Energies are from GGA-PBE.

Geometry as CIF:
```
data_Ba2CoMo
_cell_length_a 3.769
_cell_length_b 5.228
_cell_length_c 12.686
_cell_angle_alpha 90.00
_cell_angle_beta 90.00
_cell_angle_gamma 90.00
_symmetry_space_group_name_H-M 'I m m 2'
_symmetry_Int_Tables_number 44
loop_
_symmetry_equiv_pos_as_xyz
'x,y,z'
'-x,-y,z'
'-x,y,z'
'x,-y,z'
'x+1/2,y+1/2,z+1/2'
'-x+1/2,-y+1/2,z+1/2'
'-x+1/2,y+1/2,z+1/2'
'x+1/2,-y+1/2,z+1/2'
loop_
_atom_site_label
_atom_site_fract_x
_atom_site_fract_y
_atom_site_fract_z
Ba1 0.000 0.000 0.000
Ba2 0.000 0.500 0.224
Co1 0.000 0.000 0.408
Mo1 0.000 0.500 0.811
```

Calculated values
Offset from the most stable computed form in meV per atom: 28
Calculated total energy in eV/atom: -4.787
Magnetic moment in Bohr magnetons per cell: 0.0
Formation energy in eV/atom: 0.658
Calculated volume in Å³/atom: 31.2


# 6
Here is an optimized crystal structure of Ho2CdAu6 from Alexandria via LeMat-Bulk. Energies are from GGA-PBE.

Geometry as CIF:
```
data_Ho2CdAu6
_cell_length_a 8.156
_cell_length_b 7.960
_cell_length_c 5.892
_cell_angle_alpha 90.00
_cell_angle_beta 92.60
_cell_angle_gamma 90.00
_symmetry_space_group_name_H-M 'C 1 2/m 1'
_symmetry_Int_Tables_number 12
loop_
_symmetry_equiv_pos_as_xyz
'x,y,z'
'-x,-y,-z'
'-x,y,-z'
'x,-y,z'
'x+1/2,y+1/2,z'
'-x+1/2,-y+1/2,-z'
'-x+1/2,y+1/2,-z'
'x+1/2,-y+1/2,z'
loop_
_atom_site_label
_atom_site_fract_x
_atom_site_fract_y
_atom_site_fract_z
Ho1 0.180 0.000 0.162
Cd1 0.000 0.500 0.500
Au1 0.000 0.326 0.000
Au2 0.155 0.171 0.657
```

Calculated values
Offset from the most stable computed form in meV per atom: 68
Calculated total energy in eV/atom: -3.835
Magnetic moment in Bohr magnetons per cell: 0.0
Formation energy in eV/atom: -0.531
Calculated volume in Å³/atom: 21.2


# 7
Here is an optimized crystal structure of ZnIn7Hg12 from Alexandria via LeMat-Bulk. Energies are from GGA-PBE.

Geometry as CIF:
```
data_ZnIn7Hg12
_cell_length_a 15.5479
_cell_length_b 15.5479
_cell_length_c 7.7194
_cell_angle_alpha 90.00
_cell_angle_beta 90.00
_cell_angle_gamma 120.00
_symmetry_space_group_name_H-M 'R -3'
_symmetry_Int_Tables_number 148
_symmetry_space_group_name_Hall '-R 3'
loop_
_atom_site_label
_atom_site_fract_x
_atom_site_fract_y
_atom_site_fract_z
Zn1 0.0000 0.0000 0.0000
In1 0.0000 0.0000 0.5000
In2 0.0042 0.5985 0.4193
Hg1 0.0608 0.2364 0.5475
Hg2 0.0882 0.1825 0.1670
```

Calculated values
Calculated total energy in eV/atom: -1.169
Magnetic moment in Bohr magnetons per cell: 0.0
Formation energy in eV/atom: 0.034
Calculated volume in Å³/atom: 26.9


# 8
Here is an optimized crystal structure of LiCa2SeF from Alexandria via LeMat-Bulk. Energies are from GGA-PBE.

Geometry as CIF:
```
data_LiCa2SeF
_cell_length_a 5.428
_cell_length_b 5.428
_cell_length_c 4.324
_cell_angle_alpha 90.00
_cell_angle_beta 90.00
_cell_angle_gamma 90.00
_symmetry_space_group_name_H-M 'P 4/m m m'
_symmetry_Int_Tables_number 123
_symmetry_space_group_name_Hall '-P 4 2'
loop_
_atom_site_label
_atom_site_fract_x
_atom_site_fract_y
_atom_site_fract_z
Li1 0.000 0.000 0.000
Ca1 0.000 0.500 0.000
Se1 0.000 0.000 0.500
F1 0.500 0.500 0.500
```

Calculated values
Calculated total energy in eV/atom: -3.173
Formation energy from raw total energies in meV/atom: -918
Magnetic moment in Bohr magnetons per cell: 0.0
Calculated volume in Å³/atom: 25.5


Look up the magnetic moment of the fourth one.
1.1 Bohr magnetons per cell


Please write out number 8 again, unchanged.
Here is an optimized crystal structure of LiCa2SeF from Alexandria via LeMat-Bulk. Energies are from GGA-PBE.

Geometry as CIF:
```
data_LiCa2SeF
_cell_length_a 5.428
_cell_length_b 5.428
_cell_length_c 4.324
_cell_angle_alpha 90.00
_cell_angle_beta 90.00
_cell_angle_gamma 90.00
_symmetry_space_group_name_H-M 'P 4/m m m'
_symmetry_Int_Tables_number 123
_symmetry_space_group_name_Hall '-P 4 2'
loop_
_atom_site_label
_atom_site_fract_x
_atom_site_fract_y
_atom_site_fract_z
Li1 0.000 0.000 0.000
Ca1 0.000 0.500 0.000
Se1 0.000 0.000 0.500
F1 0.500 0.500 0.500
```

Calculated values
Calculated total energy in eV/atom: -3.173
Formation energy from raw total energies in meV/atom: -918
Magnetic moment in Bohr magnetons per cell: 0.0
Calculated volume in Å³/atom: 25.5


Which of these has the lowest calculated volume?
ErPaPd2O8


What is the calculated total energy in the fifth record?
-4.787 eV/atom